Record 1
Entry from Alexandria: a geometry-optimized BaAsS2 structure (PBE).

Computed properties:
Raw formation energy (kJ/mol of atoms): -54.8
Crystal system: trigonal
Total magnetization (μB per atom): 0.250
Calculated volume (Å³/cell): 154.70
VASP energy (eV/atom): -4.275
Theoretical density (g cm⁻³): 3.0

a b c (Å): 8.3376 8.3376 8.3376
angles (deg): 33.20 33.20 33.20
Element x y z (fractional)
Ba 0.0000 0.0000 0.0000
As 0.5000 0.5000 0.5000
S 0.4000 0.4000 0.4000
S 0.6000 0.6000 0.6000

***

Record 2
Entry from Alexandria: a geometry-optimized Ba3AsS5 structure (PBE).

Computed properties:
Raw formation energy (kJ/mol of atoms): -131.8
Crystal system: tetragonal
Total magnetization (μB per atom): 0.020
Calculated volume (Å³/cell): 518.94
VASP energy (eV/atom): -4.817
Theoretical density (g cm⁻³): 4.1

a b c (Å): 9.3184 9.3184 9.3184
angles (deg): 125.33 125.33 80.99
Element x y z (fractional)
Ba 0.1617 0.6617 0.8233
Ba 0.2500 0.2500 0.0000
Ba 0.3383 0.1617 0.5000
Ba 0.6617 0.8383 0.5000
Ba 0.7500 0.7500 0.0000
Ba 0.8383 0.3383 0.1767
As 0.2500 0.7500 0.5000
As 0.7500 0.2500 0.5000
S 0.0000 0.0000 0.0000
S 0.0007 0.7972 0.5000
S 0.2028 0.7028 0.2035
S 0.2972 0.5007 0.5000
S 0.4993 0.9993 0.7965
S 0.5000 0.5000 0.0000
S 0.5007 0.0007 0.2035
S 0.7028 0.4993 0.5000
S 0.7972 0.2972 0.7965
S 0.9993 0.2028 0.5000

***

Record 3
Entry from Alexandria: a geometry-optimized BaSbAs2S8 structure (PBE).

Computed properties:
Raw formation energy (kJ/mol of atoms): -32.1
Crystal system: trigonal
Total magnetization (μB per atom): 0.000
Calculated volume (Å³/cell): 307.34
VASP energy (eV/atom): -4.363
Theoretical density (g cm⁻³): 3.6

a b c (Å): 6.2069 6.2069 9.2115
angles (deg): 90.00 90.00 120.00
Element x y z (fractional)
Ba 0.0000 0.0000 0.0000
Sb 0.0000 0.0000 0.5000
As 0.3333 0.6667 0.7490
As 0.6667 0.3333 0.2510
S 0.0158 0.6763 0.3148
S 0.3237 0.3394 0.3148
S 0.3333 0.6667 0.9814
S 0.3394 0.0158 0.6852
S 0.6606 0.9842 0.3148
S 0.6667 0.3333 0.0186
S 0.6763 0.6606 0.6852
S 0.9842 0.3237 0.6852

***

Record 4
Entry from Alexandria: a geometry-optimized Ba2ScAs2S6 structure (PBE).

Computed properties:
Raw formation energy (kJ/mol of atoms): -110.2
Crystal system: monoclinic
Total magnetization (μB per atom): 0.000
Calculated volume (Å³/cell): 302.08
VASP energy (eV/atom): -5.164
Theoretical density (g cm⁻³): 3.6

a b c (Å): 7.7006 7.7006 7.4673
angles (deg): 117.71 117.71 52.98
Element x y z (fractional)
Ba 0.2402 0.2402 0.2349
Ba 0.7598 0.7598 0.7651
Sc 0.0000 0.0000 0.5000
As 0.4665 0.4665 0.8083
As 0.5335 0.5335 0.1917
S 0.1772 0.6757 0.1891
S 0.2060 0.2060 0.6146
S 0.3243 0.8228 0.8109
S 0.6757 0.1772 0.1891
S 0.7940 0.7940 0.3854
S 0.8228 0.3243 0.8109

***

Record 5
Entry from Alexandria: a geometry-optimized BaAs2SeS structure (PBE).

Computed properties:
Raw formation energy (kJ/mol of atoms): -20.1
Crystal system: tetragonal
Total magnetization (μB per atom): 0.000
Calculated volume (Å³/cell): 129.56
VASP energy (eV/atom): -3.975
Theoretical density (g cm⁻³): 5.1

a b c (Å): 5.0072 5.0072 5.1677
angles (deg): 90.00 90.00 90.00
Element x y z (fractional)
Ba 0.0000 0.0000 0.0000
As 0.0000 0.5000 0.5000
As 0.5000 0.0000 0.5000
Se 0.5000 0.5000 0.0000
S 0.5000 0.5000 0.5000

***

Record 6
Entry from Alexandria: a geometry-optimized BaAsSe2S structure (PBE).

Computed properties:
Raw formation energy (kJ/mol of atoms): 96.3
Crystal system: tetragonal
Total magnetization (μB per atom): 0.799
Calculated volume (Å³/cell): 241.46
VASP energy (eV/atom): -2.535
Theoretical density (g cm⁻³): 2.8

a b c (Å): 6.1879 6.1879 6.3060
angles (deg): 90.00 90.00 90.00
Element x y z (fractional)
Ba 0.0000 0.0000 0.0000
As 0.0000 0.0000 0.5000
Se 0.0000 0.5000 0.0000
Se 0.5000 0.0000 0.0000
S 0.5000 0.5000 0.5000

***

Record 7
Entry from Alexandria: a geometry-optimized BaAs2SeS structure (PBE).

Computed properties:
Raw formation energy (kJ/mol of atoms): 122.3
Crystal system: tetragonal
Total magnetization (μB per atom): 1.242
Calculated volume (Å³/cell): 270.80
VASP energy (eV/atom): -2.499
Theoretical density (g cm⁻³): 2.4

a b c (Å): 6.5900 6.5900 6.2356
angles (deg): 90.00 90.00 90.00
Element x y z (fractional)
Ba 0.0000 0.0000 0.0000
As 0.0000 0.5000 0.0000
As 0.5000 0.0000 0.0000
Se 0.0000 0.0000 0.5000
S 0.5000 0.5000 0.5000

***

Record 8
Entry from Alexandria: a geometry-optimized Ba4AsSe2S structure (PBE).

Computed properties:
Raw formation energy (kJ/mol of atoms): -163.7
Crystal system: monoclinic
Total magnetization (μB per atom): 0.125
Calculated volume (Å³/cell): 294.86
VASP energy (eV/atom): -4.626
Theoretical density (g cm⁻³): 4.6

a b c (Å): 8.1207 4.6561 8.2413
angles (deg): 90.00 108.87 90.00
Element x y z (fractional)
Ba 0.2442 0.0000 0.2429
Ba 0.2501 0.5000 0.7584
Ba 0.7499 0.5000 0.2416
Ba 0.7558 0.0000 0.7571
As 0.0000 0.0000 0.5000
Se 0.5000 0.0000 0.0000
Se 0.5000 0.5000 0.5000
S 0.0000 0.5000 0.0000

***

Record 9
Entry from Alexandria: a geometry-optimized BaAsSe2S structure (PBE).

Computed properties:
Raw formation energy (kJ/mol of atoms): -38.6
Crystal system: tetragonal
Total magnetization (μB per atom): 0.001
Calculated volume (Å³/cell): 130.45
VASP energy (eV/atom): -3.934
Theoretical density (g cm⁻³): 5.1

a b c (Å): 5.1394 5.1394 4.9388
angles (deg): 90.00 90.00 90.00
Element x y z (fractional)
Ba 0.0000 0.0000 0.0000
As 0.5000 0.5000 0.0000
Se 0.0000 0.5000 0.5000
Se 0.5000 0.0000 0.5000
S 0.5000 0.5000 0.5000

***

Record 10
Entry from Alexandria: a geometry-optimized BaSrAs2S structure (PBE).

Computed properties:
Raw formation energy (kJ/mol of atoms): -44.2
Crystal system: tetragonal
Total magnetization (μB per atom): 0.000
Calculated volume (Å³/cell): 154.44
VASP energy (eV/atom): -3.865
Theoretical density (g cm⁻³): 4.4

a b c (Å): 5.4474 5.4474 5.2045
angles (deg): 90.00 90.00 90.00
Element x y z (fractional)
Ba 0.0000 0.0000 0.0000
Sr 0.5000 0.5000 0.0000
As 0.0000 0.5000 0.5000
As 0.5000 0.0000 0.5000
S 0.5000 0.5000 0.5000

***

Record 11
Entry from Alexandria: a geometry-optimized BaTaAs2S8 structure (PBE).

Computed properties:
Raw formation energy (kJ/mol of atoms): -53.8
Crystal system: trigonal
Total magnetization (μB per atom): 0.000
Calculated volume (Å³/cell): 290.38
VASP energy (eV/atom): -5.232
Theoretical density (g cm⁻³): 4.1

a b c (Å): 6.1664 6.1664 8.8179
angles (deg): 90.00 90.00 120.00
Element x y z (fractional)
Ba 0.0000 0.0000 0.0000
Ta 0.0000 0.0000 0.5000
As 0.3333 0.6667 0.7296
As 0.6667 0.3333 0.2704
S 0.0267 0.6948 0.3342
S 0.3052 0.3318 0.3342
S 0.3318 0.0267 0.6658
S 0.3333 0.6667 0.9720
S 0.6667 0.3333 0.0280
S 0.6682 0.9733 0.3342
S 0.6948 0.6682 0.6658
S 0.9733 0.3052 0.6658

***

Record 12
Entry from Alexandria: a geometry-optimized BaTiAs2S8 structure (PBE).

Computed properties:
Raw formation energy (kJ/mol of atoms): -59.9
Crystal system: trigonal
Total magnetization (μB per atom): 0.000
Calculated volume (Å³/cell): 288.79
VASP energy (eV/atom): -4.966
Theoretical density (g cm⁻³): 3.4

a b c (Å): 6.1402 6.1402 8.8447
angles (deg): 90.00 90.00 120.00
Element x y z (fractional)
Ba 0.0000 0.0000 0.0000
Ti 0.0000 0.0000 0.5000
As 0.3333 0.6667 0.7300
As 0.6667 0.3333 0.2700
S 0.0141 0.6915 0.3343
S 0.3085 0.3226 0.3343
S 0.3226 0.0141 0.6657
S 0.3333 0.6667 0.9717
S 0.6667 0.3333 0.0283
S 0.6774 0.9859 0.3343
S 0.6915 0.6774 0.6657
S 0.9859 0.3085 0.6657

***

Record 13
Entry from Alexandria: a geometry-optimized Ba2TlAs2S6 structure (PBE).

Computed properties:
Raw formation energy (kJ/mol of atoms): -83.3
Crystal system: triclinic
Total magnetization (μB per atom): 0.000
Calculated volume (Å³/cell): 350.80
VASP energy (eV/atom): -4.524
Theoretical density (g cm⁻³): 3.9

a b c (Å): 5.7830 7.7680 8.3181
angles (deg): 75.92 89.01 75.67
Element x y z (fractional)
Ba 0.1429 0.1656 0.1643
Ba 0.8571 0.8344 0.8357
Tl 0.5000 0.5000 0.5000
As 0.0937 0.2845 0.6595
As 0.9063 0.7155 0.3405
S 0.1536 0.8208 0.4941
S 0.1670 0.5780 0.1768
S 0.2851 0.0224 0.8373
S 0.7149 0.9776 0.1627
S 0.8330 0.4220 0.8232
S 0.8464 0.1792 0.5059

***

Record 14
Entry from Alexandria: a geometry-optimized BaTlAsS4 structure (PBE).

Computed properties:
Raw formation energy (kJ/mol of atoms): -76.9
Crystal system: monoclinic
Total magnetization (μB per atom): 0.000
Calculated volume (Å³/cell): 425.29
VASP energy (eV/atom): -4.433
Theoretical density (g cm⁻³): 4.3

a b c (Å): 7.1176 6.8142 9.0885
angles (deg): 90.00 105.25 90.00
Element x y z (fractional)
Ba 0.2350 0.2500 0.0490
Ba 0.7650 0.7500 0.9510
Tl 0.2566 0.2500 0.5566
Tl 0.7434 0.7500 0.4434
As 0.2056 0.7500 0.7908
As 0.7944 0.2500 0.2092
S 0.0089 0.0043 0.7444
S 0.0089 0.4957 0.7444
S 0.3474 0.7500 0.0374
S 0.4092 0.7500 0.6507
S 0.5908 0.2500 0.3493
S 0.6526 0.2500 0.9626
S 0.9911 0.5043 0.2556
S 0.9911 0.9957 0.2556

***

Record 15
Entry from Alexandria: a geometry-optimized BaTmAs2S8 structure (PBE).

Computed properties:
Raw formation energy (kJ/mol of atoms): -65.3
Crystal system: trigonal
Total magnetization (μB per atom): 0.052
Calculated volume (Å³/cell): 305.47
VASP energy (eV/atom): -4.736
Theoretical density (g cm⁻³): 3.9

a b c (Å): 6.1669 6.1669 9.2749
angles (deg): 90.00 90.00 120.00
Element x y z (fractional)
Ba 0.0000 0.0000 0.0000
Tm 0.0000 0.0000 0.5000
As 0.3333 0.6667 0.7491
As 0.6667 0.3333 0.2509
S 0.0177 0.6734 0.3117
S 0.3266 0.3442 0.3117
S 0.3333 0.6667 0.9842
S 0.3442 0.0177 0.6883
S 0.6558 0.9823 0.3117
S 0.6667 0.3333 0.0158
S 0.6734 0.6558 0.6883
S 0.9823 0.3266 0.6883

***

Record 16
Entry from Alexandria: a geometry-optimized BaU2AsS8 structure (PBE).

Computed properties:
Raw formation energy (kJ/mol of atoms): -92.5
Crystal system: monoclinic
Total magnetization (μB per atom): 0.087
Calculated volume (Å³/cell): 322.79
VASP energy (eV/atom): -6.139
Theoretical density (g cm⁻³): 4.9

a b c (Å): 6.0846 8.2668 6.4303
angles (deg): 90.00 93.64 90.00
Element x y z (fractional)
Ba 0.0000 0.0000 0.0000
U 0.5000 0.2582 0.5000
U 0.5000 0.7418 0.5000
As 0.0000 0.5000 0.0000
S 0.2594 0.2920 0.1693
S 0.2594 0.7080 0.1693
S 0.2718 0.5000 0.6445
S 0.2821 0.0000 0.6138
S 0.7179 0.0000 0.3862
S 0.7282 0.5000 0.3555
S 0.7406 0.2920 0.8307
S 0.7406 0.7080 0.8307

***

Record 17
Entry from Alexandria: a geometry-optimized Ba2UAs2S2 structure (PBE).

Computed properties:
Raw formation energy (kJ/mol of atoms): -123.9
Crystal system: tetragonal
Total magnetization (μB per atom): 0.019
Calculated volume (Å³/cell): 227.69
VASP energy (eV/atom): -5.954
Theoretical density (g cm⁻³): 5.3

a b c (Å): 8.8253 8.8253 8.8253
angles (deg): 144.76 144.76 50.69
Element x y z (fractional)
Ba 0.1418 0.1418 0.0000
Ba 0.8582 0.8582 0.0000
U 0.5000 0.5000 0.0000
As 0.0000 0.5000 0.5000
As 0.5000 0.0000 0.5000
S 0.3362 0.3362 0.0000
S 0.6638 0.6638 0.0000

***

Record 18
Entry from Alexandria: a geometry-optimized BaVAs2S8 structure (PBE).

Computed properties:
Raw formation energy (kJ/mol of atoms): -48.4
Crystal system: trigonal
Total magnetization (μB per atom): 0.084
Calculated volume (Å³/cell): 281.17
VASP energy (eV/atom): -4.949
Theoretical density (g cm⁻³): 3.5

a b c (Å): 6.0785 6.0785 8.7870
angles (deg): 90.00 90.00 120.00
Element x y z (fractional)
Ba 0.0000 0.0000 0.0000
V 0.0000 0.0000 0.5000
As 0.3333 0.6667 0.7236
As 0.6667 0.3333 0.2764
S 0.0207 0.6982 0.3394
S 0.3018 0.3225 0.3394
S 0.3225 0.0207 0.6606
S 0.3333 0.6667 0.9675
S 0.6667 0.3333 0.0325
S 0.6775 0.9793 0.3394
S 0.6982 0.6775 0.6606
S 0.9793 0.3018 0.6606

***

Record 19
Entry from Alexandria: a geometry-optimized Ba2SbAs2 structure (PBE).

Computed properties:
Raw formation energy (kJ/mol of atoms): -80.5
Crystal system: tetragonal
Total magnetization (μB per atom): 0.000
Calculated volume (Å³/cell): 320.09
VASP energy (eV/atom): -4.288
Theoretical density (g cm⁻³): 5.7

a b c (Å): 8.1610 8.1610 4.8060
angles (deg): 90.00 90.00 90.00
Element x y z (fractional)
Ba 0.1835 0.3165 0.0000
Ba 0.3165 0.8165 0.0000
Ba 0.6835 0.1835 0.0000
Ba 0.8165 0.6835 0.0000
Sb 0.0000 0.0000 0.5000
Sb 0.5000 0.5000 0.5000
As 0.1098 0.6098 0.5000
As 0.3902 0.1098 0.5000
As 0.6098 0.8902 0.5000
As 0.8902 0.3902 0.5000

***

Record 20
Entry from Alexandria: a geometry-optimized BaSbAs2 structure (PBE).

Computed properties:
Raw formation energy (kJ/mol of atoms): -44.5
Crystal system: monoclinic
Total magnetization (μB per atom): 0.000
Calculated volume (Å³/cell): 119.28
VASP energy (eV/atom): -4.298
Theoretical density (g cm⁻³): 5.7

a b c (Å): 5.4341 5.4341 5.7739
angles (deg): 108.84 108.84 48.42
Element x y z (fractional)
Ba 0.0000 0.0000 0.0000
Sb 0.5000 0.5000 0.5000
As 0.2250 0.2250 0.6114
As 0.7750 0.7750 0.3886